# NbNiIrO6

An optimized crystal structure of NbNiIrO6 (GGA+U, the Alexandria database).

N(E_F)   3.57 states/eV/f.u.
E_tot   -7.0786 eV/atom
Crystal system   trigonal
Total magnetic moment   0.06 μB/cell

Cell lengths 5.107, 5.107, 9.068 Å; angles 90.00, 90.00, 120.00 degrees
Atoms (fractional coordinates):
Nb 0.333 0.667 0.250
Nb 0.667 0.333 0.750
Ni 0.000 0.000 0.000
Ni 0.000 0.000 0.500
Ir 0.333 0.667 0.750
Ir 0.667 0.333 0.250
O 0.003 0.342 0.629
O 0.003 0.661 0.871
O 0.339 0.342 0.871
O 0.339 0.997 0.629
O 0.342 0.003 0.129
O 0.342 0.339 0.371
O 0.658 0.661 0.629
O 0.658 0.997 0.871
O 0.661 0.003 0.371
O 0.661 0.658 0.129
O 0.997 0.339 0.129
O 0.997 0.658 0.371